1.
Computed, not measured: crystalline Pa2SnRh5Au at its relaxed geometry at the PBE level of DFT.

## Properties
VASP energy (eV per cell): -131.15
Crystal system: tetragonal

Cell and atoms, written as POSCAR:
```
Pa2SnRh5Au
1.0
-4.035 4.035 5.503
4.035 -4.035 5.503
4.035 4.035 -5.503
Pa Sn Rh Au
4 2 10 2
direct
0.132 0.632 0.765
0.368 0.132 0.500
0.632 0.868 0.500
0.868 0.368 0.235
0.250 0.250 0.000
0.750 0.750 0.000
0.000 0.000 0.000
0.070 0.160 0.500
0.160 0.660 0.089
0.340 0.430 0.500
0.430 0.930 0.089
0.500 0.500 0.000
0.570 0.070 0.911
0.660 0.570 0.500
0.840 0.340 0.911
0.930 0.840 0.500
0.250 0.750 0.500
0.750 0.250 0.500
```

2.
Computed, not measured: crystalline Tb6Hg2O at its relaxed geometry at the PBE level of DFT.

## Properties
VASP energy (eV per cell): -81.36
Crystal system: monoclinic

Cell and atoms, written as POSCAR:
```
Tb6Hg2O
1.0
6.628 0.000 0.000
0.000 6.989 0.000
-6.536 0.000 10.116
Tb Hg O
12 4 2
direct
0.139 0.003 0.244
0.139 0.497 0.744
0.227 0.707 0.040
0.227 0.793 0.540
0.346 0.198 0.041
0.346 0.302 0.541
0.654 0.698 0.459
0.654 0.802 0.959
0.773 0.207 0.460
0.773 0.293 0.960
0.861 0.503 0.256
0.861 0.997 0.756
0.302 0.078 0.750
0.302 0.422 0.250
0.698 0.578 0.750
0.698 0.922 0.250
0.000 0.000 0.000
0.000 0.500 0.500
```

3.
Computed, not measured: crystalline CaCr2TcOs at its relaxed geometry at the PBE level of DFT.

## Properties
VASP energy (eV per cell): -34.32
Crystal system: tetragonal

Cell and atoms, written as POSCAR:
```
CaCr2TcOs
1.0
4.530 0.000 0.000
0.000 4.530 0.000
0.000 0.000 5.041
Ca Cr Tc Os
1 2 1 1
direct
0.000 0.000 0.000
0.000 0.500 0.500
0.500 0.000 0.500
0.000 0.000 0.500
0.500 0.500 0.000
```

4.
Computed, not measured: crystalline K2PBr at its relaxed geometry at the PBE level of DFT.

## Properties
VASP energy (eV per cell): -11.66
Crystal system: tetragonal
Relative energy among the computed polymorphs (kJ per mole of atoms): 0.0

Cell and atoms, written as POSCAR:
```
K2PBr
1.0
3.718 0.000 0.000
0.000 3.718 0.000
0.000 0.000 8.716
K P Br
2 1 1
direct
0.000 0.000 0.237
0.000 0.000 0.763
0.500 0.500 0.500
0.500 0.500 0.000
```

5.
Computed, not measured: crystalline MnInTe2N at its relaxed geometry at the PBE level of DFT.

## Properties
VASP energy (eV per cell): -21.45
Crystal system: tetragonal
Relative energy among the computed polymorphs (kJ per mole of atoms): 89.3

Cell and atoms, written as POSCAR:
```
MnInTe2N
1.0
5.835 0.000 0.000
0.000 5.835 0.000
0.000 0.000 4.048
Mn In Te N
1 1 2 1
direct
0.000 0.000 0.000
0.500 0.500 0.500
0.000 0.500 0.500
0.500 0.000 0.500
0.500 0.500 0.000
```

6.
Computed, not measured: crystalline RbTaIr2 at its relaxed geometry at the PBE level of DFT.

## Properties
VASP energy (eV per cell): -26.53
Crystal system: cubic
Relative energy among the computed polymorphs (kJ per mole of atoms): 19.5

Cell and atoms, written as POSCAR:
```
RbTaIr2
1.0
0.000 3.355 3.355
3.355 0.000 3.355
3.355 3.355 0.000
Rb Ta Ir
1 1 2
direct
0.000 0.000 0.000
0.500 0.500 0.500
0.250 0.250 0.250
0.750 0.750 0.750
```

7.
Computed, not measured: crystalline K2NaDyBr6 at its relaxed geometry at the PBE level of DFT.

## Properties
VASP energy (eV per cell): -72.07
Crystal system: monoclinic

Cell and atoms, written as POSCAR:
```
K2NaDyBr6
1.0
7.723 0.000 0.000
0.000 8.119 0.000
-7.527 0.000 11.008
K Na Dy Br
4 2 2 12
direct
0.219 0.077 0.246
0.219 0.423 0.746
0.781 0.577 0.254
0.781 0.923 0.754
0.000 0.000 0.500
0.000 0.500 0.000
0.500 0.000 0.000
0.500 0.500 0.500
0.154 0.191 0.947
0.154 0.309 0.447
0.259 0.711 0.943
0.259 0.789 0.443
0.367 0.031 0.757
0.367 0.469 0.257
0.633 0.531 0.743
0.633 0.969 0.243
0.741 0.211 0.557
0.741 0.289 0.057
0.846 0.691 0.553
0.846 0.809 0.053
```

8.
Computed, not measured: crystalline Cs2PPdI6 at its relaxed geometry at the PBE level of DFT.

## Properties
VASP energy (eV per cell): -27.94
Crystal system: tetragonal

Cell and atoms, written as POSCAR:
```
Cs2PPdI6
1.0
-4.057 4.057 5.697
4.057 -4.057 5.697
4.057 4.057 -5.697
Cs P Pd I
2 1 1 6
direct
0.250 0.750 0.500
0.750 0.250 0.500
0.000 0.000 0.000
0.500 0.500 0.000
0.250 0.250 0.000
0.250 0.250 0.500
0.250 0.750 0.000
0.750 0.250 0.000
0.750 0.750 0.000
0.750 0.750 0.500
```

9.
Computed, not measured: crystalline Pm4Ga12Fe at its relaxed geometry at the PBE level of DFT.

## Properties
VASP energy (eV per cell): -73.05
Crystal system: cubic

Cell and atoms, written as POSCAR:
```
Pm4Ga12Fe
1.0
-4.360 4.360 4.360
4.360 -4.360 4.360
4.360 4.360 -4.360
Pm Ga Fe
4 12 1
direct
0.000 0.000 0.500
0.000 0.500 0.000
0.500 0.000 0.000
0.500 0.500 0.500
0.000 0.285 0.285
0.000 0.715 0.715
0.250 0.500 0.750
0.250 0.750 0.500
0.285 0.000 0.285
0.285 0.285 0.000
0.500 0.250 0.750
0.500 0.750 0.250
0.715 0.000 0.715
0.715 0.715 0.000
0.750 0.250 0.500
0.750 0.500 0.250
0.000 0.000 0.000
```

10.
Computed, not measured: crystalline GdHf2Re at its relaxed geometry at the PBE level of DFT.

## Properties
VASP energy (eV per cell): -46.77
Crystal system: tetragonal

Cell and atoms, written as POSCAR:
```
GdHf2Re
1.0
3.318 0.000 0.000
0.000 3.318 0.000
0.000 0.000 8.177
Gd Hf Re
1 2 1
direct
0.000 0.000 0.000
0.500 0.500 0.311
0.500 0.500 0.689
0.000 0.000 0.500
```

11.
Computed, not measured: crystalline LiTb2Tc at its relaxed geometry at the PBE level of DFT.

## Properties
VASP energy (eV per cell): -20.74
Crystal system: trigonal

Cell and atoms, written as POSCAR:
```
LiTb2Tc
1.0
1.728 0.998 9.720
-1.728 0.998 9.720
0.000 -1.995 9.720
Li Tb Tc
1 2 1
direct
0.000 0.000 0.000
0.236 0.236 0.236
0.764 0.764 0.764
0.500 0.500 0.500
```

12.
Computed, not measured: crystalline Sr2ReRu at its relaxed geometry at the PBE level of DFT.

## Properties
VASP energy (eV per cell): -19.99
Crystal system: monoclinic
Relative energy among the computed polymorphs (kJ per mole of atoms): 76.6

Cell and atoms, written as POSCAR:
```
Sr2ReRu
1.0
5.012 -1.461 0.000
5.012 1.461 0.000
-0.445 0.000 6.085
Sr Re Ru
2 1 1
direct
0.249 0.249 0.254
0.751 0.751 0.746
0.500 0.500 0.000
0.000 0.000 0.500
```

| no. | DOS(E_F) (states/eV per atom) |
| --- | --- |
| 1 | 0.940 |
| 2 | 0.889 |
| 3 | 1.496 |
| 4 | 0.652 |
| 5 | 0.751 |
| 6 | 0.404 |
| 7 | 0.000 |
| 8 | 0.315 |
| 9 | 0.391 |
| 10 | 1.212 |
| 11 | 0.751 |
| 12 | 1.157 |